(1)
NdAl2Ag2 after structural relaxation, computed with PBE.

Calculated values
* DFT formation energy: 0.53 eV/atom
* polymorph energy (0 for the lowest one): 0.8746 eV per atom

abc: 3.7691 3.7691 20.2960
angles: 90.00 90.00 90.00
Sites, in units of the cell vectors:
Nd 0.0000 0.0000 0.0000
Nd 0.5000 0.5000 0.5000
Al 0.0000 0.0000 0.1512
Al 0.0000 0.0000 0.8488
Al 0.5000 0.5000 0.3488
Al 0.5000 0.5000 0.6512
Ag 0.0000 0.5000 0.2500
Ag 0.0000 0.5000 0.7500
Ag 0.5000 0.0000 0.2500
Ag 0.5000 0.0000 0.7500

(2)
Sr2Tl3Hg4 after structural relaxation, computed with PBE.

Calculated values
* DFT formation energy: -0.33 eV/atom

abc: 5.4502 5.4502 10.2555
angles: 90.13 90.13 60.03
Sites, in units of the cell vectors:
Sr 0.1673 0.1673 0.2783
Sr 0.8327 0.8327 0.7217
Tl 0.1662 0.1662 0.9230
Tl 0.5000 0.5000 0.5000
Tl 0.8338 0.8338 0.0770
Hg 0.1662 0.1662 0.6043
Hg 0.4995 0.4995 0.8444
Hg 0.5005 0.5005 0.1556
Hg 0.8338 0.8338 0.3957

(3)
Cs2CeHg2Se4 after structural relaxation, computed with PBE.

Calculated values
* E_form (uncorrected): -871 kJ/mol of formula units

abc: 8.9616 8.9616 8.9896
angles: 113.28 113.28 27.48
Sites, in units of the cell vectors:
Cs 0.1294 0.1294 0.0720
Cs 0.8706 0.8706 0.9280
Ce 0.0000 0.0000 0.5000
Hg 0.3067 0.3067 0.4770
Hg 0.6933 0.6933 0.5230
Se 0.1731 0.1731 0.7180
Se 0.4762 0.4762 0.7053
Se 0.5238 0.5238 0.2947
Se 0.8269 0.8269 0.2820

(4)
Tl2Pb2I after structural relaxation, computed with PBE.

Calculated values
* E_form (uncorrected): -33 kJ/mol of formula units
* polymorph energy (0 for the lowest one): 0.0000 eV per atom

abc: 4.4916 4.4916 18.7534
angles: 90.00 90.00 90.00
Sites, in units of the cell vectors:
Tl 0.0000 0.0000 0.0920
Tl 0.0000 0.0000 0.9080
Tl 0.5000 0.5000 0.4080
Tl 0.5000 0.5000 0.5920
Pb 0.0000 0.5000 0.2500
Pb 0.0000 0.5000 0.7500
Pb 0.5000 0.0000 0.2500
Pb 0.5000 0.0000 0.7500
I 0.0000 0.0000 0.5000
I 0.5000 0.5000 0.0000

(5)
BeCrNi2 after structural relaxation, computed with PBE.

Calculated values
* DFT formation energy: -0.04 eV/atom

abc: 5.0186 6.7561 2.4768
angles: 90.00 90.00 90.00
Sites, in units of the cell vectors:
Be 0.0000 0.0000 0.0000
Be 0.5000 0.5000 0.0000
Cr 0.0000 0.5000 0.0000
Cr 0.5000 0.0000 0.0000
Ni 0.2500 0.2500 0.5000
Ni 0.2500 0.7500 0.5000
Ni 0.7500 0.2500 0.5000
Ni 0.7500 0.7500 0.5000

(6)
LiPtBr6 after structural relaxation, computed with PBE.

Calculated values
* E_form (uncorrected): -325 kJ/mol of formula units
* polymorph energy (0 for the lowest one): 0.0360 eV per atom

abc: 6.9069 6.9069 6.9069
angles: 57.08 57.08 57.08
Sites, in units of the cell vectors:
Li 0.0000 0.0000 0.0000
Pt 0.5000 0.5000 0.5000
Br 0.0950 0.7228 0.4386
Br 0.2772 0.5614 0.9050
Br 0.4386 0.0950 0.7228
Br 0.5614 0.9050 0.2772
Br 0.7228 0.4386 0.0950
Br 0.9050 0.2772 0.5614

(7)
ZnPdF2 after structural relaxation, computed with PBE.

Calculated values
* E_form (uncorrected): -371 kJ/mol of formula units
* polymorph energy (0 for the lowest one): 0.2337 eV per atom

abc: 5.3742 5.3742 8.3283
angles: 90.00 90.00 90.00
Sites, in units of the cell vectors:
Zn 0.0000 0.0000 0.0000
Zn 0.0000 0.5000 0.2500
Zn 0.5000 0.0000 0.7500
Zn 0.5000 0.5000 0.5000
Pd 0.0000 0.0000 0.5000
Pd 0.0000 0.5000 0.7500
Pd 0.5000 0.0000 0.2500
Pd 0.5000 0.5000 0.0000
F 0.1685 0.2500 0.1250
F 0.2500 0.6685 0.3750
F 0.2500 0.8315 0.8750
F 0.3315 0.2500 0.6250
F 0.6685 0.7500 0.6250
F 0.7500 0.1685 0.8750
F 0.7500 0.3315 0.3750
F 0.8315 0.7500 0.1250

(8)
AcNdPbBr after structural relaxation, computed with PBE.

Calculated values
* E_form (uncorrected): -321 kJ/mol of formula units

abc: 7.9644 7.9644 7.9644
angles: 90.00 90.00 90.00
Sites, in units of the cell vectors:
Ac 0.0000 0.0000 0.0000
Ac 0.0000 0.5000 0.5000
Ac 0.5000 0.0000 0.5000
Ac 0.5000 0.5000 0.0000
Nd 0.0000 0.0000 0.5000
Nd 0.0000 0.5000 0.0000
Nd 0.5000 0.0000 0.0000
Nd 0.5000 0.5000 0.5000
Pb 0.2500 0.2500 0.2500
Pb 0.2500 0.7500 0.7500
Pb 0.7500 0.2500 0.7500
Pb 0.7500 0.7500 0.2500
Br 0.2500 0.2500 0.7500
Br 0.2500 0.7500 0.2500
Br 0.7500 0.2500 0.2500
Br 0.7500 0.7500 0.7500

(9)
B5C7 after structural relaxation, computed with PBE.

Calculated values
* DFT formation energy: 0.45 eV/atom
* polymorph energy (0 for the lowest one): 0.1937 eV per atom

abc: 4.3855 2.6037 6.8527
angles: 90.00 90.52 90.00
Sites, in units of the cell vectors:
B 0.0000 0.0000 0.0000
B 0.0414 0.0000 0.7507
B 0.4194 0.5000 0.7389
B 0.4834 0.5000 0.9896
B 0.8047 0.5000 0.6236
C 0.1509 0.5000 0.1038
C 0.1552 0.5000 0.3212
C 0.3245 0.0000 0.3971
C 0.3504 0.0000 0.6166
C 0.6491 0.0000 0.0886
C 0.6532 0.0000 0.3106
C 0.8175 0.5000 0.3917

(10)
Ho2GaCu4Ge3 after structural relaxation, computed with PBE.

Calculated values
* DFT formation energy: -0.48 eV/atom

abc: 4.0590 4.0590 10.2903
angles: 90.00 90.00 90.00
Sites, in units of the cell vectors:
Ho 0.0000 0.5000 0.2430
Ho 0.5000 0.0000 0.7570
Ga 0.0000 0.0000 0.5000
Cu 0.0000 0.0000 0.0000
Cu 0.0000 0.5000 0.6379
Cu 0.5000 0.0000 0.3621
Cu 0.5000 0.5000 0.0000
Ge 0.0000 0.5000 0.8664
Ge 0.5000 0.0000 0.1336
Ge 0.5000 0.5000 0.5000

(11)
Ba5PuSb4 after structural relaxation, computed with PBE.

Calculated values
* E_form (uncorrected): -752 kJ/mol of formula units

abc: 11.6412 11.6412 9.2599
angles: 113.29 113.29 24.71
Sites, in units of the cell vectors:
Ba 0.0000 0.0000 0.0000
Ba 0.3357 0.3357 0.0984
Ba 0.3356 0.3356 0.5715
Ba 0.6644 0.6644 0.4285
Ba 0.6643 0.6643 0.9016
Pu 0.0000 0.0000 0.5000
Sb 0.2065 0.2065 0.7069
Sb 0.5001 0.5001 0.2707
Sb 0.4999 0.4999 0.7293
Sb 0.7935 0.7935 0.2931

(12)
SiI2O8 after structural relaxation, computed with PBE.

Calculated values
* E_form (uncorrected): -609 kJ/mol of formula units

abc: 6.0720 6.0720 4.5727
angles: 101.34 101.34 87.01
Sites, in units of the cell vectors:
Si 0.0000 0.0000 0.0000
I 0.2599 0.2599 0.7654
I 0.7401 0.7401 0.2346
O 0.0427 0.7493 0.1476
O 0.1789 0.1789 0.3500
O 0.2507 0.9573 0.8524
O 0.4876 0.4876 0.6415
O 0.5124 0.5124 0.3585
O 0.7493 0.0427 0.1476
O 0.8211 0.8211 0.6500
O 0.9573 0.2507 0.8524

- What is the formula in the eighth record?
  AcNdPbBr